## a
OsSe2Br: relaxed, GGA-PBE.

abc: 3.2508 3.2508 30.2543
angles: 90.00 90.00 120.00
Space group R3m (No. 160, hexagonal axes)
Symmetry-distinct sites (fractional):
1 Os 0.0000 0.0000 0.0000 (multiplicity 3)
2 Se 0.0000 0.0000 0.2818 (multiplicity 3)
3 Se 0.0000 0.0000 0.5207 (multiplicity 3)
4 Br 0.0000 0.0000 0.7320 (multiplicity 3)

Results
Magnetic moment (μB/atom): 0.000

## b
OsSe2Br: relaxed, GGA-PBE.

abc: 2.9327 5.3758 11.2402
angles: 90.00 90.00 90.00
Space group Cmm2 (No. 35)
Symmetry-distinct sites (fractional):
1 Os 0.0000 0.0000 0.0000 (multiplicity 2)
2 Se 0.0000 0.0000 0.5219 (multiplicity 2)
3 Se 0.0000 0.5000 0.8255 (multiplicity 2)
4 Br 0.0000 0.5000 0.1955 (multiplicity 2)

Results
Magnetic moment (μB/atom): 0.000

## c
OsSe2Br: relaxed, GGA-PBE.

abc: 6.6123 6.6123 6.6123
angles: 90.00 90.00 90.00
Space group Fm-3m (No. 225)
Symmetry-distinct sites (fractional):
1 Os 0.0000 0.0000 0.0000 (multiplicity 4)
2 Se 0.2500 0.2500 0.2500 (multiplicity 8)
3 Br 0.0000 0.0000 0.5000 (multiplicity 4)

Results
Magnetic moment (μB/atom): 0.035

## d
OsSe2Br: relaxed, GGA-PBE.

abc: 3.8301 3.8301 22.9739
angles: 90.00 90.00 120.00
Space group R-3m (No. 166, hexagonal axes)
Symmetry-distinct sites (fractional):
1 Os 0.0000 0.0000 0.0000 (multiplicity 3)
2 Se 0.0000 0.0000 0.3851 (multiplicity 6)
3 Br 0.0000 0.0000 0.5000 (multiplicity 3)

Results
Magnetic moment (μB/atom): 0.000

d takes first place; second place is 422 meV/atom up.

## a
OsSe4Br: relaxed, GGA-PBE.

abc: 8.0321 8.0321 8.0321
angles: 90.00 90.00 90.00
Space group F-43m (No. 216)
Symmetry-distinct sites (fractional):
1 Os 0.0000 0.0000 0.0000 (multiplicity 4)
2 Se 0.1263 0.1263 0.6263 (multiplicity 16)
3 Br 0.2500 0.2500 0.2500 (multiplicity 4)

Results
Magnetic moment (μB/atom): 0.670

## b
OsSe4Br: relaxed, GGA-PBE.

abc: 6.8265 7.2169 8.0236
angles: 70.36 77.63 76.42
Space group P-1 (No. 2)
Symmetry-distinct sites (fractional):
1 Os 0.2490 0.4976 0.4976 (multiplicity 2)
2 Se 0.0015 0.7140 0.2812 (multiplicity 2)
3 Se 0.0761 0.3137 0.3673 (multiplicity 2)
4 Se 0.4448 0.4483 0.7585 (multiplicity 2)
5 Se 0.4496 0.7875 0.4081 (multiplicity 2)
6 Br 0.3334 0.8002 0.8574 (multiplicity 2)

Results
Magnetic moment (μB/atom): 0.000

b takes first place; second place is 1287 meV/atom up.

## a
OsSe3Br: relaxed, GGA-PBE.

abc: 3.9880 8.4959 8.7151
angles: 106.01 94.30 94.03
Space group P-1 (No. 2)
Symmetry-distinct sites (fractional):
1 Os 0.1080 0.4811 0.3407 (multiplicity 2)
2 Se 0.1344 0.7690 0.8336 (multiplicity 2)
3 Se 0.1940 0.5786 0.1107 (multiplicity 2)
4 Se 0.3171 0.3504 0.5489 (multiplicity 2)
5 Br 0.2484 0.9793 0.7002 (multiplicity 2)

Results
Magnetic moment (μB/atom): 0.000

## b
OsSe3Br: relaxed, GGA-PBE.

abc: 5.0940 5.0940 5.0940
angles: 90.00 90.00 90.00
Space group Pm-3m (No. 221)
Symmetry-distinct sites (fractional):
1 Os 0.0000 0.0000 0.0000 (multiplicity 1)
2 Se 0.0000 0.5000 0.5000 (multiplicity 3)
3 Br 0.5000 0.5000 0.5000 (multiplicity 1)

Results
Magnetic moment (μB/atom): 0.867

a takes first place; second place is 1946 meV/atom up.

## a
SiOsSeBr2: relaxed, GGA-PBE.

abc: 5.1625 5.1625 4.7070
angles: 90.00 90.00 90.00
Space group P4/mmm (No. 123)
Symmetry-distinct sites (fractional):
1 Si 0.0000 0.0000 0.0000 (multiplicity 1)
2 Os 0.5000 0.5000 0.5000 (multiplicity 1)
3 Se 0.5000 0.5000 0.0000 (multiplicity 1)
4 Br 0.0000 0.5000 0.5000 (multiplicity 2)

Results
Magnetic moment (μB/atom): 0.142

## b
SiOsSeBr2: relaxed, GGA-PBE.

abc: 4.9875 4.9875 5.0250
angles: 90.00 90.00 90.00
Space group P4/mmm (No. 123)
Symmetry-distinct sites (fractional):
1 Si 0.0000 0.0000 0.0000 (multiplicity 1)
2 Os 0.5000 0.5000 0.5000 (multiplicity 1)
3 Se 0.0000 0.0000 0.5000 (multiplicity 1)
4 Br 0.0000 0.5000 0.0000 (multiplicity 2)

Results
Magnetic moment (μB/atom): 0.847

a takes first place; second place is 455 meV/atom up.

## a
SiOsSe2Br: relaxed, GGA-PBE.

abc: 4.8587 4.8587 4.8724
angles: 90.00 90.00 90.00
Space group P4/mmm (No. 123)
Symmetry-distinct sites (fractional):
1 Si 0.0000 0.0000 0.0000 (multiplicity 1)
2 Os 0.5000 0.5000 0.5000 (multiplicity 1)
3 Se 0.0000 0.5000 0.0000 (multiplicity 2)
4 Br 0.0000 0.0000 0.5000 (multiplicity 1)

Results
Magnetic moment (μB/atom): 0.785

## b
SiOsSe2Br: relaxed, GGA-PBE.

abc: 4.8335 4.8335 5.1479
angles: 90.00 90.00 90.00
Space group P4/mmm (No. 123)
Symmetry-distinct sites (fractional):
1 Si 0.0000 0.0000 0.0000 (multiplicity 1)
2 Os 0.5000 0.5000 0.5000 (multiplicity 1)
3 Se 0.0000 0.5000 0.5000 (multiplicity 2)
4 Br 0.5000 0.5000 0.0000 (multiplicity 1)

Results
Magnetic moment (μB/atom): 0.002

b takes first place; second place is 462 meV/atom up.

## a
TiOsSeBr2: relaxed, GGA-PBE.

abc: 5.0830 5.0830 4.9880
angles: 90.00 90.00 90.00
Space group P4/mmm (No. 123)
Symmetry-distinct sites (fractional):
1 Ti 0.0000 0.0000 0.0000 (multiplicity 1)
2 Os 0.5000 0.5000 0.5000 (multiplicity 1)
3 Se 0.0000 0.0000 0.5000 (multiplicity 1)
4 Br 0.0000 0.5000 0.0000 (multiplicity 2)

Results
Magnetic moment (μB/atom): 0.960

## b
TiOsSeBr2: relaxed, GGA-PBE.

abc: 5.1745 5.1745 4.7167
angles: 90.00 90.00 90.00
Space group P4/mmm (No. 123)
Symmetry-distinct sites (fractional):
1 Ti 0.0000 0.0000 0.0000 (multiplicity 1)
2 Os 0.5000 0.5000 0.5000 (multiplicity 1)
3 Se 0.5000 0.5000 0.0000 (multiplicity 1)
4 Br 0.0000 0.5000 0.5000 (multiplicity 2)

Results
Magnetic moment (μB/atom): 0.045

a takes first place; second place is 36 meV/atom up.

## a
VOsSeBr2: relaxed, GGA-PBE.

abc: 5.1997 5.1997 4.7007
angles: 90.00 90.00 90.00
Space group P4/mmm (No. 123)
Symmetry-distinct sites (fractional):
1 V 0.0000 0.0000 0.0000 (multiplicity 1)
2 Os 0.5000 0.5000 0.5000 (multiplicity 1)
3 Se 0.5000 0.5000 0.0000 (multiplicity 1)
4 Br 0.0000 0.5000 0.5000 (multiplicity 2)

Results
Magnetic moment (μB/atom): 0.021

## b
VOsSeBr2: relaxed, GGA-PBE.

abc: 4.9567 4.9567 4.8804
angles: 90.00 90.00 90.00
Space group P4/mmm (No. 123)
Symmetry-distinct sites (fractional):
1 V 0.0000 0.0000 0.0000 (multiplicity 1)
2 Os 0.5000 0.5000 0.5000 (multiplicity 1)
3 Se 0.0000 0.0000 0.5000 (multiplicity 1)
4 Br 0.0000 0.5000 0.0000 (multiplicity 2)

Results
Magnetic moment (μB/atom): 0.853

b takes first place; second place is 9 meV/atom up.

## a
OsWSeBr2: relaxed, GGA-PBE.

abc: 5.1572 5.1572 4.8763
angles: 90.00 90.00 90.00
Space group P4/mmm (No. 123)
Symmetry-distinct sites (fractional):
1 Os 0.0000 0.0000 0.0000 (multiplicity 1)
2 W 0.5000 0.5000 0.5000 (multiplicity 1)
3 Se 0.5000 0.5000 0.0000 (multiplicity 1)
4 Br 0.0000 0.5000 0.5000 (multiplicity 2)

Results
Magnetic moment (μB/atom): 1.032

## b
OsWSeBr2: relaxed, GGA-PBE.

abc: 5.1566 5.1566 4.7177
angles: 90.00 90.00 90.00
Space group P4/mmm (No. 123)
Symmetry-distinct sites (fractional):
1 Os 0.0000 0.0000 0.0000 (multiplicity 1)
2 W 0.5000 0.5000 0.5000 (multiplicity 1)
3 Se 0.0000 0.0000 0.5000 (multiplicity 1)
4 Br 0.0000 0.5000 0.0000 (multiplicity 2)

Results
Magnetic moment (μB/atom): 0.857

a takes first place; second place is 11 meV/atom up.

## a
YOsSe2Br: relaxed, GGA-PBE.

abc: 5.4934 5.4934 5.4067
angles: 90.00 90.00 90.00
Space group P4/mmm (No. 123)
Symmetry-distinct sites (fractional):
1 Y 0.0000 0.0000 0.0000 (multiplicity 1)
2 Os 0.5000 0.5000 0.5000 (multiplicity 1)
3 Se 0.0000 0.5000 0.0000 (multiplicity 2)
4 Br 0.0000 0.0000 0.5000 (multiplicity 1)

Results
Magnetic moment (μB/atom): 0.971

## b
YOsSe2Br: relaxed, GGA-PBE.

abc: 4.9302 4.9302 4.9652
angles: 90.00 90.00 90.00
Space group P4/mmm (No. 123)
Symmetry-distinct sites (fractional):
1 Y 0.0000 0.0000 0.0000 (multiplicity 1)
2 Os 0.5000 0.5000 0.5000 (multiplicity 1)
3 Se 0.0000 0.5000 0.5000 (multiplicity 2)
4 Br 0.5000 0.5000 0.0000 (multiplicity 1)

Results
Magnetic moment (μB/atom): 0.000

b takes first place; second place is 644 meV/atom up.

## a
ZrOsSe2Br: relaxed, GGA-PBE.

abc: 4.8698 4.8698 4.9055
angles: 90.00 90.00 90.00
Space group P4/mmm (No. 123)
Symmetry-distinct sites (fractional):
1 Zr 0.0000 0.0000 0.0000 (multiplicity 1)
2 Os 0.5000 0.5000 0.5000 (multiplicity 1)
3 Se 0.0000 0.5000 0.5000 (multiplicity 2)
4 Br 0.5000 0.5000 0.0000 (multiplicity 1)

Results
Magnetic moment (μB/atom): 0.000

## b
ZrOsSe2Br: relaxed, GGA-PBE.

abc: 5.2202 5.2202 5.3064
angles: 90.00 90.00 90.00
Space group P4/mmm (No. 123)
Symmetry-distinct sites (fractional):
1 Zr 0.0000 0.0000 0.0000 (multiplicity 1)
2 Os 0.5000 0.5000 0.5000 (multiplicity 1)
3 Se 0.0000 0.5000 0.0000 (multiplicity 2)
4 Br 0.0000 0.0000 0.5000 (multiplicity 1)

Results
Magnetic moment (μB/atom): 0.974

a takes first place; second place is 144 meV/atom up.

## a
SiOsBr2: relaxed, GGA-PBE.

abc: 4.8889 3.7315 5.6531
angles: 90.00 105.01 90.00
Space group Pm (No. 6)
Symmetry-distinct sites (fractional):
1 Si 0.0000 0.0000 0.0000 (multiplicity 1)
2 Os 0.9698 0.5000 0.7710 (multiplicity 1)
3 Br 0.4307 0.5000 0.6513 (multiplicity 1)
4 Br 0.8169 0.0000 0.3509 (multiplicity 1)

Results
Magnetic moment (μB/atom): 0.000

## b
SiOsBr2: relaxed, GGA-PBE.

abc: 4.7208 4.7208 3.2542
angles: 90.00 90.00 90.00
Space group P4/mmm (No. 123)
Symmetry-distinct sites (fractional):
1 Si 0.0000 0.0000 0.0000 (multiplicity 1)
2 Os 0.5000 0.5000 0.0000 (multiplicity 1)
3 Br 0.0000 0.5000 0.5000 (multiplicity 2)

Results
Magnetic moment (μB/atom): 0.000

## c
SiOsBr2: relaxed, GGA-PBE.

abc: 3.0307 5.7182 9.2540
angles: 90.00 90.00 90.00
Space group Cmmm (No. 65)
Symmetry-distinct sites (fractional):
1 Si 0.0000 0.0000 0.0000 (multiplicity 2)
2 Os 0.0000 0.0000 0.5000 (multiplicity 2)
3 Br 0.0000 0.5000 0.2788 (multiplicity 4)

Results
Magnetic moment (μB/atom): 0.000

## d
SiOsBr2: relaxed, GGA-PBE.

abc: 4.6063 3.8505 7.2139
angles: 90.00 108.34 90.00
Space group P2/m (No. 10)
Symmetry-distinct sites (fractional):
1 Si 0.0000 0.0000 0.0000 (multiplicity 1)
2 Os 0.5000 0.0000 0.0000 (multiplicity 1)
3 Br 0.3767 0.5000 0.7498 (multiplicity 2)

Results
Magnetic moment (μB/atom): 0.000

a takes first place; second place is 98 meV/atom up.

## a
SiOsBr2: relaxed, GGA-PBE.

abc: 6.6624 6.6624 6.6624
angles: 90.00 90.00 90.00
Space group F-43m (No. 216)
Symmetry-distinct sites (fractional):
1 Si 0.0000 0.0000 0.0000 (multiplicity 4)
2 Os 0.2500 0.2500 0.7500 (multiplicity 4)
3 Br 0.0000 0.0000 0.5000 (multiplicity 4)
4 Br 0.2500 0.2500 0.2500 (multiplicity 4)

Results
Magnetic moment (μB/atom): 0.342

## b
SiOsBr2: relaxed, GGA-PBE.

abc: 2.9195 2.9195 37.1556
angles: 90.00 90.00 120.00
Space group R-3m (No. 166, hexagonal axes)
Symmetry-distinct sites (fractional):
1 Si 0.0000 0.0000 0.0000 (multiplicity 3)
2 Os 0.0000 0.0000 0.5000 (multiplicity 3)
3 Br 0.0000 0.0000 0.4358 (multiplicity 6)

Results
Magnetic moment (μB/atom): 0.000

## c
SiOsBr2: relaxed, GGA-PBE.

abc: 6.7465 3.9024 7.6681
angles: 90.00 90.98 90.00
Space group Cm (No. 8)
Symmetry-distinct sites (fractional):
1 Si 0.0000 0.0000 0.0000 (multiplicity 2)
2 Os 0.1687 0.5000 0.9227 (multiplicity 2)
3 Br 0.0809 0.5000 0.2495 (multiplicity 2)
4 Br 0.3192 0.0000 0.6935 (multiplicity 2)

Results
Magnetic moment (μB/atom): 0.000

c takes first place; second place is 716 meV/atom up.